! PBE Pu3As2IrRh9, relaxed; values from VASP
! E_tot = -128.43 eV for the cell shown
! Crystal system = trigonal
&SYSTEM
  ibrav = 0, nat = 15, ntyp = 4
/
ATOMIC_SPECIES
Pu 244.00 Pu.upf
As 74.92 As.upf
Ir 192.22 Ir.upf
Rh 102.91 Rh.upf
CELL_PARAMETERS angstrom
6.607 0.000 0.000
-3.304 5.722 0.000
0.000 0.000 8.177
ATOMIC_POSITIONS angstrom
Pu 0.000 0.000 0.000
Pu 0.000 3.815 5.942
Pu 3.304 1.907 2.235
As 0.000 3.815 1.613
As 3.304 1.907 6.564
Ir 0.000 0.000 4.089
Rh -1.652 2.861 0.000
Rh 0.000 1.577 2.117
Rh -1.938 4.933 2.117
Rh 1.366 0.789 6.060
Rh 3.304 0.000 0.000
Rh 1.652 2.861 0.000
Rh 1.938 4.933 2.117
Rh 5.241 0.789 6.060
Rh 3.304 4.145 6.060

! PBE ScRe2Ag, relaxed; values from VASP
! Crystal system = orthorhombic
! Energy relative to the lowest polymorph listed for this composition = 0.3730 eV per atom
&SYSTEM
  ibrav = 0, nat = 8, ntyp = 3
/
ATOMIC_SPECIES
Sc 44.96 Sc.upf
Re 186.21 Re.upf
Ag 107.87 Ag.upf
CELL_PARAMETERS angstrom
5.543 0.000 0.000
0.000 8.968 0.000
0.000 0.000 2.668
ATOMIC_POSITIONS angstrom
Sc 0.000 0.000 0.000
Sc 2.771 4.484 0.000
Re 1.386 2.242 1.334
Re 1.386 6.726 1.334
Re 4.157 2.242 1.334
Re 4.157 6.726 1.334
Ag 0.000 4.484 0.000
Ag 2.771 0.000 0.000

! PBE LaTbLu2, relaxed; values from VASP
! Crystal system = tetragonal
! Energy relative to the lowest polymorph listed for this composition = 0.0385 eV per atom
&SYSTEM
  ibrav = 0, nat = 4, ntyp = 3
/
ATOMIC_SPECIES
La 138.91 La.upf
Tb 158.93 Tb.upf
Lu 174.97 Lu.upf
CELL_PARAMETERS angstrom
4.061 0.000 0.000
0.000 4.061 0.000
0.000 0.000 7.838
ATOMIC_POSITIONS angstrom
La 0.000 0.000 0.000
Tb 0.000 0.000 3.919
Lu 2.030 2.030 2.049
Lu 2.030 2.030 5.789

! PBE AlSe2Br, relaxed; values from VASP
! Crystal system = orthorhombic
! Formation energy (no corrections) = -141 meV/atom
! Energy relative to the lowest polymorph listed for this composition = 0.4341 eV per atom
&SYSTEM
  ibrav = 0, nat = 8, ntyp = 3
/
ATOMIC_SPECIES
Al 26.98 Al.upf
Se 78.96 Se.upf
Br 79.90 Br.upf
CELL_PARAMETERS angstrom
3.595 0.000 0.000
0.000 5.277 0.000
0.000 0.000 10.526
ATOMIC_POSITIONS angstrom
Al 0.000 0.000 0.000
Al 1.798 2.639 5.263
Se 0.000 2.639 3.530
Se 0.000 2.639 6.996
Se 1.798 0.000 1.733
Se 1.798 0.000 8.793
Br 0.000 0.000 5.263
Br 1.798 2.639 0.000

! PBE ZrScSb2, relaxed; values from VASP
! Crystal system = orthorhombic
! Formation energy (no corrections) = -536 meV/atom
! Energy relative to the lowest polymorph listed for this composition = 0.2246 eV per atom
&SYSTEM
  ibrav = 0, nat = 8, ntyp = 3
/
ATOMIC_SPECIES
Zr 91.22 Zr.upf
Sc 44.96 Sc.upf
Sb 121.76 Sb.upf
CELL_PARAMETERS angstrom
4.051 0.000 0.000
0.000 4.496 0.000
0.000 0.000 10.156
ATOMIC_POSITIONS angstrom
Zr 0.000 0.000 0.000
Zr 2.026 2.248 5.078
Sc 0.000 2.248 7.710
Sc 2.026 0.000 2.632
Sb 0.000 0.000 5.059
Sb 0.000 2.248 2.658
Sb 2.026 0.000 7.736
Sb 2.026 2.248 10.137

! PBE Si2WSe, relaxed; values from VASP
! Crystal system = orthorhombic
! Formation energy (no corrections) = 652 meV/atom
&SYSTEM
  ibrav = 0, nat = 4, ntyp = 3
/
ATOMIC_SPECIES
Si 28.09 Si.upf
W 183.84 W.upf
Se 78.96 Se.upf
CELL_PARAMETERS angstrom
2.938 0.000 0.000
0.000 4.500 0.000
0.000 0.000 4.764
ATOMIC_POSITIONS angstrom
Si 0.000 0.000 0.000
Si 1.469 2.250 0.000
W 0.000 2.250 2.382
Se 1.469 0.000 2.382

! PBE CaGa6S8, relaxed; values from VASP
! Crystal system = trigonal
! Formation energy (no corrections) = -607 meV/atom
&SYSTEM
  ibrav = 0, nat = 15, ntyp = 3
/
ATOMIC_SPECIES
Ca 40.08 Ca.upf
Ga 69.72 Ga.upf
S 32.06 S.upf
CELL_PARAMETERS angstrom
4.933 2.848 3.744
-4.933 2.848 3.744
0.000 -5.696 3.744
ATOMIC_POSITIONS angstrom
Ca 0.000 0.000 0.000
Ga -1.302 -1.981 4.174
Ga -1.064 2.118 4.174
Ga -2.366 0.137 7.057
Ga 2.366 -0.137 4.174
Ga 1.064 -2.118 7.057
Ga 1.302 1.981 7.057
S -3.105 0.970 4.880
S -2.393 -2.204 6.351
S 0.713 -3.174 4.880
S 0.000 0.000 3.624
S 0.000 0.000 7.607
S -0.713 3.174 6.351
S 2.393 2.204 4.880
S 3.105 -0.970 6.351

! PBE Rb2Li2Fe, relaxed; values from VASP
! Crystal system = tetragonal
! Energy relative to the lowest polymorph listed for this composition = 0.0000 eV per atom
&SYSTEM
  ibrav = 0, nat = 10, ntyp = 3
/
ATOMIC_SPECIES
Rb 85.47 Rb.upf
Li 6.94 Li.upf
Fe 55.84 Fe.upf
CELL_PARAMETERS angstrom
4.084 0.000 0.000
0.000 4.084 0.000
0.000 0.000 23.314
ATOMIC_POSITIONS angstrom
Rb 0.000 0.000 2.329
Rb 0.000 0.000 20.985
Rb 2.042 2.042 9.328
Rb 2.042 2.042 13.986
Li 0.000 2.042 5.828
Li 0.000 2.042 17.485
Li 2.042 0.000 5.828
Li 2.042 0.000 17.485
Fe 0.000 0.000 11.657
Fe 2.042 2.042 0.000

! PBE SrTiSbTe2, relaxed; values from VASP
! Crystal system = tetragonal
! Formation energy (no corrections) = -634 meV/atom
! Energy relative to the lowest polymorph listed for this composition = 0.0000 eV per atom
&SYSTEM
  ibrav = 0, nat = 5, ntyp = 4
/
ATOMIC_SPECIES
Sr 87.62 Sr.upf
Ti 47.87 Ti.upf
Sb 121.76 Sb.upf
Te 127.60 Te.upf
CELL_PARAMETERS angstrom
5.447 0.000 0.000
0.000 5.447 0.000
0.000 0.000 5.346
ATOMIC_POSITIONS angstrom
Sr 0.000 0.000 0.000
Ti 2.723 2.723 2.673
Sb 2.723 2.723 0.000
Te 0.000 2.723 2.673
Te 2.723 0.000 2.673

! PBE LaSm3Au4, relaxed; values from VASP
! E_tot = -76.93 eV for the cell shown
! Crystal system = cubic
&SYSTEM
  ibrav = 0, nat = 16, ntyp = 3
/
ATOMIC_SPECIES
La 138.91 La.upf
Sm 150.36 Sm.upf
Au 196.97 Au.upf
CELL_PARAMETERS angstrom
7.408 0.000 0.000
0.000 7.408 0.000
0.000 0.000 7.408
ATOMIC_POSITIONS angstrom
La 0.000 0.000 0.000
La 3.704 3.704 3.704
Sm 0.000 0.000 3.704
Sm 0.000 3.704 0.000
Sm 0.000 3.704 3.704
Sm 3.704 0.000 0.000
Sm 3.704 0.000 3.704
Sm 3.704 3.704 0.000
Au 1.852 1.852 1.852
Au 1.852 1.852 5.556
Au 1.852 5.556 1.852
Au 1.852 5.556 5.556
Au 5.556 1.852 1.852
Au 5.556 1.852 5.556
Au 5.556 5.556 1.852
Au 5.556 5.556 5.556

! PBE Tl2Bi2Pt, relaxed; values from VASP
! E_tot = -37.24 eV for the cell shown
! Crystal system = tetragonal
&SYSTEM
  ibrav = 0, nat = 10, ntyp = 3
/
ATOMIC_SPECIES
Tl 204.38 Tl.upf
Bi 208.98 Bi.upf
Pt 195.08 Pt.upf
CELL_PARAMETERS angstrom
7.253 0.000 0.000
0.000 7.253 0.000
0.000 0.000 5.774
ATOMIC_POSITIONS angstrom
Tl 1.212 2.414 0.000
Tl 2.414 6.041 0.000
Tl 4.839 1.212 0.000
Tl 6.041 4.839 0.000
Bi 1.100 4.726 2.887
Bi 2.527 1.100 2.887
Bi 4.726 6.153 2.887
Bi 6.153 2.527 2.887
Pt 0.000 0.000 2.887
Pt 3.627 3.627 2.887

! PBE Ac3TbTh2Sb6, relaxed; values from VASP
! Crystal system = monoclinic
! Formation energy (no corrections) = -1106 meV/atom
&SYSTEM
  ibrav = 0, nat = 12, ntyp = 4
/
ATOMIC_SPECIES
Ac 227.00 Ac.upf
Tb 158.93 Tb.upf
Th 232.04 Th.upf
Sb 121.76 Sb.upf
CELL_PARAMETERS angstrom
3.996 -6.928 0.000
3.996 6.928 0.000
-2.665 0.000 7.604
ATOMIC_POSITIONS angstrom
Ac 0.000 0.000 0.000
Ac 3.996 2.322 0.000
Ac 3.996 -2.322 0.000
Tb 2.663 0.000 3.802
Th 2.663 4.624 3.802
Th 2.663 -4.624 3.802
Sb 1.344 2.290 2.051
Sb 0.023 0.000 5.564
Sb 1.344 -2.290 2.051
Sb 3.983 2.290 5.553
Sb 5.304 0.000 2.040
Sb 3.983 -2.290 5.553

! PBE CaYBiOs2, relaxed; values from VASP
! E_tot = -26.22 eV for the cell shown
! Crystal system = tetragonal
&SYSTEM
  ibrav = 0, nat = 5, ntyp = 4
/
ATOMIC_SPECIES
Ca 40.08 Ca.upf
Y 88.91 Y.upf
Bi 208.98 Bi.upf
Os 190.23 Os.upf
CELL_PARAMETERS angstrom
4.937 0.000 0.000
0.000 4.937 0.000
0.000 0.000 5.457
ATOMIC_POSITIONS angstrom
Ca 0.000 0.000 0.000
Y 0.000 0.000 2.729
Bi 2.468 2.468 0.000
Os 0.000 2.468 2.729
Os 2.468 0.000 2.729

! PBE CaHfVRe2, relaxed; values from VASP
! E_tot = -41.17 eV for the cell shown
! Crystal system = tetragonal
&SYSTEM
  ibrav = 0, nat = 5, ntyp = 4
/
ATOMIC_SPECIES
Ca 40.08 Ca.upf
Hf 178.49 Hf.upf
V 50.94 V.upf
Re 186.21 Re.upf
CELL_PARAMETERS angstrom
4.644 0.000 0.000
0.000 4.644 0.000
0.000 0.000 4.837
ATOMIC_POSITIONS angstrom
Ca 0.000 0.000 0.000
Hf 2.322 2.322 0.000
V 2.322 2.322 2.418
Re 0.000 2.322 2.418
Re 2.322 0.000 2.418

! PBE Sr2TcAg, relaxed; values from VASP
! Crystal system = tetragonal
! Energy relative to the lowest polymorph listed for this composition = 0.0269 eV per atom
&SYSTEM
  ibrav = 0, nat = 4, ntyp = 3
/
ATOMIC_SPECIES
Sr 87.62 Sr.upf
Tc 98.00 Tc.upf
Ag 107.87 Ag.upf
CELL_PARAMETERS angstrom
3.620 0.000 0.000
0.000 3.620 0.000
0.000 0.000 8.479
ATOMIC_POSITIONS angstrom
Sr 0.000 0.000 2.008
Sr 0.000 0.000 6.471
Tc 1.810 1.810 0.000
Ag 1.810 1.810 4.239

! PBE KLi2Mn, relaxed; values from VASP
! Crystal system = tetragonal
! Energy relative to the lowest polymorph listed for this composition = 0.0365 eV per atom
&SYSTEM
  ibrav = 0, nat = 4, ntyp = 3
/
ATOMIC_SPECIES
K 39.10 K.upf
Li 6.94 Li.upf
Mn 54.94 Mn.upf
CELL_PARAMETERS angstrom
3.530 0.000 0.000
0.000 3.530 0.000
0.000 0.000 8.708
ATOMIC_POSITIONS angstrom
K 0.000 0.000 0.000
Li 0.000 0.000 4.646
Li 1.765 1.765 3.069
Mn 1.765 1.765 5.933

! PBE K3NaCd6, relaxed; values from VASP
! E_tot = -10.50 eV for the cell shown
! Crystal system = monoclinic
&SYSTEM
  ibrav = 0, nat = 10, ntyp = 3
/
ATOMIC_SPECIES
K 39.10 K.upf
Na 22.99 Na.upf
Cd 112.41 Cd.upf
CELL_PARAMETERS angstrom
6.387 -3.602 0.000
6.387 3.602 0.000
-2.745 0.000 7.218
ATOMIC_POSITIONS angstrom
K 0.000 0.000 0.000
K 5.457 0.000 1.738
K 4.572 0.000 5.480
Na -1.373 0.000 3.609
Cd 0.972 1.465 5.865
Cd 1.781 0.000 3.269
Cd 0.972 -1.465 5.865
Cd 9.057 1.465 1.353
Cd 8.248 0.000 3.949
Cd 9.057 -1.465 1.353

! PBE CaScSn2As, relaxed; values from VASP
! E_tot = -18.36 eV for the cell shown
! Crystal system = tetragonal
&SYSTEM
  ibrav = 0, nat = 5, ntyp = 4
/
ATOMIC_SPECIES
Ca 40.08 Ca.upf
Sc 44.96 Sc.upf
Sn 118.71 Sn.upf
As 74.92 As.upf
CELL_PARAMETERS angstrom
5.420 0.000 0.000
0.000 5.420 0.000
0.000 0.000 5.740
ATOMIC_POSITIONS angstrom
Ca 0.000 0.000 0.000
Sc 0.000 0.000 2.870
Sn 0.000 2.710 2.870
Sn 2.710 0.000 2.870
As 2.710 2.710 0.000

! PBE Tc2IrOs, relaxed; values from VASP
! Crystal system = monoclinic
! Energy relative to the lowest polymorph listed for this composition = 0.1590 eV per atom
&SYSTEM
  ibrav = 0, nat = 8, ntyp = 3
/
ATOMIC_SPECIES
Tc 98.00 Tc.upf
Ir 192.22 Ir.upf
Os 190.23 Os.upf
CELL_PARAMETERS angstrom
9.109 0.000 0.000
0.000 2.728 0.000
-0.806 0.000 4.657
ATOMIC_POSITIONS angstrom
Tc 2.068 0.000 1.144
Tc 1.681 1.364 3.513
Tc 6.623 1.364 1.144
Tc 6.235 0.000 3.513
Ir -0.403 0.000 2.328
Ir 4.152 1.364 2.328
Os 0.000 1.364 0.000
Os 4.555 0.000 0.000

! PBE LiNd2Zn3Pd4, relaxed; values from VASP
! E_tot = -42.14 eV for the cell shown
! Crystal system = tetragonal
&SYSTEM
  ibrav = 0, nat = 10, ntyp = 4
/
ATOMIC_SPECIES
Li 6.94 Li.upf
Nd 144.24 Nd.upf
Zn 65.41 Zn.upf
Pd 106.42 Pd.upf
CELL_PARAMETERS angstrom
4.156 0.000 0.000
0.000 4.156 0.000
0.000 0.000 11.058
ATOMIC_POSITIONS angstrom
Li 0.000 0.000 0.000
Nd 0.000 2.078 8.216
Nd 2.078 0.000 2.841
Zn 0.000 2.078 4.063
Zn 2.078 0.000 6.995
Zn 2.078 2.078 0.000
Pd 0.000 0.000 5.529
Pd 0.000 2.078 1.550
Pd 2.078 0.000 9.508
Pd 2.078 2.078 5.529

! PBE MgTe3, relaxed; values from VASP
! Crystal system = orthorhombic
! Formation energy (no corrections) = -90 meV/atom
&SYSTEM
  ibrav = 0, nat = 8, ntyp = 2
/
ATOMIC_SPECIES
Mg 24.30 Mg.upf
Te 127.60 Te.upf
CELL_PARAMETERS angstrom
4.203 0.000 0.000
0.000 4.992 0.000
0.000 0.000 11.773
ATOMIC_POSITIONS angstrom
Mg 0.000 0.000 0.000
Mg 2.101 2.496 0.000
Te 0.000 0.000 5.887
Te 0.000 2.496 2.111
Te 0.000 2.496 9.662
Te 2.101 0.000 2.111
Te 2.101 0.000 9.662
Te 2.101 2.496 5.887

! PBE SmZn5PdPt2, relaxed; values from VASP
! E_tot = -30.75 eV for the cell shown
! Crystal system = tetragonal
&SYSTEM
  ibrav = 0, nat = 9, ntyp = 4
/
ATOMIC_SPECIES
Sm 150.36 Sm.upf
Zn 65.41 Zn.upf
Pd 106.42 Pd.upf
Pt 195.08 Pt.upf
CELL_PARAMETERS angstrom
4.843 0.000 0.000
0.000 4.843 0.000
0.000 0.000 7.397
ATOMIC_POSITIONS angstrom
Sm 0.000 0.000 0.000
Zn 0.000 2.422 2.301
Zn 0.000 2.422 5.096
Zn 2.422 0.000 2.301
Zn 2.422 0.000 5.096
Zn 2.422 2.422 0.000
Pd 0.000 0.000 3.699
Pt 2.422 2.422 2.369
Pt 2.422 2.422 5.029

! PBE BaAcFeN2, relaxed; values from VASP
! Crystal system = monoclinic
! Formation energy (no corrections) = -441 meV/atom
&SYSTEM
  ibrav = 0, nat = 10, ntyp = 4
/
ATOMIC_SPECIES
Ba 137.33 Ba.upf
Ac 227.00 Ac.upf
Fe 55.84 Fe.upf
N 14.01 N.upf
CELL_PARAMETERS angstrom
5.843 0.000 0.000
0.000 5.589 0.000
-0.019 0.000 7.386
ATOMIC_POSITIONS angstrom
Ba -0.005 0.008 1.846
Ba -0.015 5.580 5.539
Ac 2.917 2.796 1.846
Ac 2.907 2.793 5.539
Fe 2.921 0.000 0.000
Fe 2.912 0.000 3.693
N 1.711 1.401 7.382
N 1.720 4.187 3.689
N 4.103 1.401 3.697
N 4.113 4.187 0.004

! PBE InRe2O8, relaxed; values from VASP
! Crystal system = monoclinic
! Formation energy (no corrections) = -1461 meV/atom
! Energy relative to the lowest polymorph listed for this composition = 0.0000 eV per atom
&SYSTEM
  ibrav = 0, nat = 11, ntyp = 3
/
ATOMIC_SPECIES
In 114.82 In.upf
Re 186.21 Re.upf
O 16.00 O.upf
CELL_PARAMETERS angstrom
5.983 -3.472 0.000
5.983 3.472 0.000
-3.969 0.000 5.692
ATOMIC_POSITIONS angstrom
In 0.000 0.000 0.000
Re 0.017 0.000 4.266
Re 7.980 0.000 1.425
O -1.638 0.000 4.852
O 0.845 1.432 4.850
O 0.016 0.000 2.513
O 7.153 1.432 0.842
O 0.845 -1.432 4.850
O 7.981 0.000 3.179
O 7.153 -1.432 0.842
O 9.635 0.000 0.840

! PBE CsCd6In3, relaxed; values from VASP
! E_tot = -28.98 eV for the cell shown
! Crystal system = monoclinic
&SYSTEM
  ibrav = 0, nat = 20, ntyp = 3
/
ATOMIC_SPECIES
Cs 132.91 Cs.upf
Cd 112.41 Cd.upf
In 114.82 In.upf
CELL_PARAMETERS angstrom
8.089 0.000 0.000
0.000 8.068 0.000
-5.238 0.000 8.657
ATOMIC_POSITIONS angstrom
Cs 0.000 0.000 0.000
Cs -2.619 4.034 4.328
Cd -2.416 0.331 5.804
Cd 0.203 3.703 1.476
Cd -2.723 5.782 7.443
Cd -0.104 6.320 3.115
Cd 2.760 5.805 1.904
Cd 0.141 6.297 6.232
Cd 2.711 1.771 2.425
Cd 0.092 2.263 6.753
Cd 2.955 1.748 5.542
Cd 5.574 2.286 1.213
Cd 2.648 4.365 7.181
Cd 5.267 7.737 2.853
In -0.082 1.159 3.811
In -2.701 2.874 8.139
In 4.045 0.000 0.000
In 1.426 4.034 4.328
In 5.553 5.193 0.518
In 2.934 6.908 4.846